(1)
Compound: Ta3InBi5
Source: OQMD via LeMat-Bulk
Functional: GGA-PBE
Structure: optimized geometry

**M_tot**: 0.02 μB per formula unit
**Raw total energy**: -57.06 eV/cell

abc: 5.8157 5.8157 8.8098
angles: 90.00 90.00 120.00
Last column: nearest neighbours and their distance in Å.
Space group P6/mmm (No. 191)
Inequivalent atoms, fractional coordinates:
Ta (0.0000, 0.5000, 0.0000)  4 Ta 2.91, 6 Bi 2.91-3.03
In (0.0000, 0.0000, 0.5000)  12 Bi 3.85
Bi (0.0000, 0.0000, 0.0000)  6 Ta 2.91
Bi (0.3333, 0.6667, 0.2858)  3 Ta 3.03, 3 Bi 3.36

---

(2)
Compound: KAu
Source: OQMD via LeMat-Bulk
Functional: GGA-PBE
Structure: optimized geometry

**Raw total energy**: -19.56 eV/cell

abc: 6.8184 6.8184 6.8184
angles: 90.00 90.00 90.00
Last column: nearest neighbours and their distance in Å.
Space group Fm-3m (No. 225)
Inequivalent atoms, fractional coordinates:
K (0.0000, 0.0000, 0.0000)  6 Au 3.41
Au (0.0000, 0.0000, 0.5000)  6 K 3.41

---

(3)
Compound: BeNiSbPt
Source: OQMD via LeMat-Bulk
Functional: GGA-PBE
Structure: optimized geometry

**M_tot**: 0.00 μB per formula unit
**Excess energy over the best structure of this formula in the dataset**: 9.6 kJ per mole of atoms

abc: 6.1292 6.1292 6.1292
angles: 90.00 90.00 90.00
Last column: nearest neighbours and their distance in Å.
Space group F-43m (No. 216)
Inequivalent atoms, fractional coordinates:
Be (0.0000, 0.0000, 0.0000)  4 Sb 2.65, 4 Pt 2.65
Ni (0.0000, 0.0000, 0.5000)  4 Sb 2.65, 4 Pt 2.65
Sb (0.2500, 0.2500, 0.2500)  4 Ni 2.65, 4 Be 2.65
Pt (0.2500, 0.2500, 0.7500)  4 Ni 2.65, 4 Be 2.65

---

(4)
Compound: LaNd2Ge4Ir2Pt2
Source: OQMD via LeMat-Bulk
Functional: GGA-PBE
Structure: optimized geometry

**M_tot**: 0.00 μB per formula unit
**Raw total energy**: -146.68 eV/cell

abc: 4.1457 4.3403 25.2743
angles: 90.00 90.00 90.00
Last column: nearest neighbours and their distance in Å.
Space group Immm (No. 71)
Inequivalent atoms, fractional coordinates:
La (0.0000, 0.0000, 0.0000)  4 Pt 3.24, 8 Ge 3.26
Nd (0.0000, 0.5000, 0.1478)  6 Ge 3.22-3.24, 4 Pt 3.25, 4 Ir 3.31-3.38
Ge (0.0000, 0.0000, 0.4498)  2 Pt 2.49, 1 Ge 2.54
Ge (0.0000, 0.5000, 0.3034)  4 Ir 2.47-2.55, 1 Pt 2.48
Ir (0.0000, 0.0000, 0.2501)  4 Ge 2.47-2.55
Pt (0.0000, 0.5000, 0.4017)  3 Ge 2.48-2.49

---

(5)
Compound: AcDyNb
Source: OQMD via LeMat-Bulk
Functional: GGA-PBE
Structure: optimized geometry

**M_tot**: 1.34 μB per formula unit
**DFT formation energy**: 1379 meV/atom
**Excess energy over the best structure of this formula in the dataset**: 55.9 kJ per mole of atoms

abc: 7.3952 7.3952 7.3952
angles: 90.00 90.00 90.00
Last column: nearest neighbours and their distance in Å.
Space group F-43m (No. 216)
Inequivalent atoms, fractional coordinates:
Ac (0.0000, 0.0000, 0.0000)  4 Nb 3.20, 4 Dy 3.20
Dy (0.2500, 0.2500, 0.7500)  4 Ac 3.20
Nb (0.2500, 0.2500, 0.2500)  4 Ac 3.20

---

(6)
Compound: HfSnB
Source: OQMD via LeMat-Bulk
Functional: GGA-PBE
Structure: optimized geometry

**M_tot**: 0.09 μB per formula unit
**Excess energy over the best structure of this formula in the dataset**: 0.0 kJ per mole of atoms

abc: 5.9526 5.9526 5.9526
angles: 90.00 90.00 90.00
Last column: nearest neighbours and their distance in Å.
Space group F-43m (No. 216)
Inequivalent atoms, fractional coordinates:
Hf (0.0000, 0.0000, 0.0000)  4 B 2.58
Sn (0.0000, 0.0000, 0.5000)  4 B 2.58
B (0.2500, 0.2500, 0.2500)  4 Hf 2.58, 4 Sn 2.58

---

(7)
Compound: KPmSc
Source: OQMD via LeMat-Bulk
Functional: GGA-PBE
Structure: optimized geometry

**M_tot**: 2.61 μB per formula unit
**Excess energy over the best structure of this formula in the dataset**: 0.0 kJ per mole of atoms

abc: 8.1422 8.1422 8.1422
angles: 90.00 90.00 90.00
Last column: nearest neighbours and their distance in Å.
Space group F-43m (No. 216)
Inequivalent atoms, fractional coordinates:
K (0.0000, 0.0000, 0.0000)  4 Sc 3.53
Pm (0.0000, 0.0000, 0.5000)  4 Sc 3.53
Sc (0.2500, 0.2500, 0.2500)  4 Pm 3.53, 4 K 3.53

---

(8)
Compound: SrLiCoW
Source: OQMD via LeMat-Bulk
Functional: GGA-PBE
Structure: optimized geometry

**M_tot**: 3.81 μB per formula unit
**Excess energy over the best structure of this formula in the dataset**: 47.7 kJ per mole of atoms

abc: 6.7675 6.7675 6.7675
angles: 90.00 90.00 90.00
Last column: nearest neighbours and their distance in Å.
Space group F-43m (No. 216)
Inequivalent atoms, fractional coordinates:
Sr (0.0000, 0.0000, 0.0000)  4 Co 2.93, 4 W 2.93
Li (0.0000, 0.0000, 0.5000)  4 W 2.93, 4 Co 2.93
Co (0.2500, 0.2500, 0.7500)  4 Li 2.93, 4 Sr 2.93
W (0.2500, 0.2500, 0.2500)  4 Li 2.93, 4 Sr 2.93

---

(9)
Compound: GdAsPb
Source: OQMD via LeMat-Bulk
Functional: GGA-PBE
Structure: optimized geometry

**M_tot**: 0.00 μB per formula unit
**Excess energy over the best structure of this formula in the dataset**: 0.0 kJ per mole of atoms

abc: 7.1175 7.1175 7.1175
angles: 90.00 90.00 90.00
Last column: nearest neighbours and their distance in Å.
Space group F-43m (No. 216)
Inequivalent atoms, fractional coordinates:
Gd (0.0000, 0.0000, 0.0000)  4 As 3.08, 4 Pb 3.08
As (0.2500, 0.2500, 0.7500)  4 Gd 3.08
Pb (0.2500, 0.2500, 0.2500)  4 Gd 3.08

---

(10)
Compound: CoPt2Pb
Source: OQMD via LeMat-Bulk
Functional: GGA-PBE
Structure: optimized geometry

**M_tot**: 1.50 μB per formula unit
**Raw total energy**: -88.32 eV/cell

abc: 6.4114 6.4114 6.4114
angles: 90.00 90.00 90.00
Last column: nearest neighbours and their distance in Å.
Space group F-43m (No. 216)
Inequivalent atoms, fractional coordinates:
Co (0.0000, 0.0000, 0.0000)  4 Pt 2.78, 4 Pb 2.78
Pt (0.0000, 0.0000, 0.5000)  4 Pb 2.78, 4 Pt 2.78
Pt (0.2500, 0.2500, 0.2500)  4 Co 2.78, 4 Pt 2.78
Pb (0.2500, 0.2500, 0.7500)  4 Co 2.78, 4 Pt 2.78

---

What is the formula in the sixth record? HfSnB